No. 1
Compound: TbSc2As3
Source: Alexandria
Functional: GGA-PBE
Structure: relaxed

abc: 3.9680 5.6419 11.8852
angles: 90.00 90.00 90.00
With the nearest neighbours (Å) after each atom.
Space group Immm (No. 71)
Unique sites:
Tb 0.0000 0.0000 0.0000 [2 per cell]  6 As 2.82-2.88
Sc 0.0000 0.0000 0.3351 [4 per cell]  6 As 2.74-2.82
As 0.0000 0.5000 0.0000 [2 per cell]  4 Sc 2.79, 2 Tb 2.82
As 0.0000 0.5000 0.3244 [4 per cell]  4 Sc 2.74-2.82, 2 Tb 2.88

Computed properties:
Spin magnetization   0.0 μB per formula unit
DFT formation energy   -1407 meV per atom
DFT total energy   -6.61 eV per atom

No. 2
Compound: Tb4ScAs5
Source: Alexandria
Functional: GGA-PBE
Structure: relaxed

abc: 9.1437 9.1437 5.7997
angles: 90.00 90.00 90.00
With the nearest neighbours (Å) after each atom.
Space group I4/m (No. 87)
Unique sites:
Tb 0.0976 0.7001 0.0000 [8 per cell]  6 As 2.88-2.95
Sc 0.0000 0.0000 0.5000 [2 per cell]  6 As 2.82-2.90
As 0.0000 0.0000 0.0000 [2 per cell]  4 Tb 2.88, 2 Sc 2.90
As 0.0976 0.7079 0.5000 [8 per cell]  1 Sc 2.82, 5 Tb 2.90-2.95

Computed properties:
Spin magnetization   0.0 μB per formula unit
DFT formation energy   -1490 meV per atom
DFT total energy   -6.30 eV per atom